PrZn2: relaxed, PBE-GGA.

Calculated values
Density   7.09 g/cm³
E_form   -0.2067 eV/atom
SG   Cmcm
V   254 Å³ per cell

Lattice parameters (Å, degrees): 14.5982 3.7409 4.6596 90.00 90.00 90.00
Last column: nearest neighbours and their distance in Å.
Positions (direct):
1 Pr 0.6386 0.0000 0.0000  8 Zn 3.05-3.38, 2 Pr 3.38
2 Pr 0.1386 0.5000 0.0000  8 Zn 3.05-3.38, 2 Pr 3.37
3 Pr 0.8059 0.0000 0.5000  8 Zn 3.05-3.38, 2 Pr 3.38
4 Pr 0.3058 0.5000 0.5000  8 Zn 3.05-3.38, 2 Pr 3.37
5 Zn 0.3518 0.0000 0.0000  2 Zn 2.58
6 Zn 0.9735 0.0000 0.0000  2 Zn 2.58
7 Zn 0.4734 0.5000 0.0000  2 Zn 2.58
8 Zn 0.8518 0.5000 0.0000  2 Zn 2.58
9 Zn 0.0926 0.0000 0.5000  2 Zn 2.58
10 Zn 0.4711 0.0000 0.5000  2 Zn 2.58
11 Zn 0.5926 0.5000 0.5000  2 Zn 2.58
12 Zn 0.9710 0.5000 0.5000  2 Zn 2.58

***

LiTlFeCu: relaxed, PBE-GGA.

Calculated values
Energy above the most stable polymorph in this dataset   0 meV/atom
Density   9.16 g/cm³
SG   F-43m
V   60 Å³ per cell

Lattice parameters (Å, degrees): 4.3937 4.3937 4.3937 60.00 60.00 60.00
Last column: nearest neighbours and their distance in Å.
Positions (direct):
1 Cu 0.5000 0.5000 0.5000  4 Li 2.69, 4 Fe 2.69
2 Fe 0.7500 0.7500 0.7500  4 Tl 2.69, 4 Cu 2.69
3 Li 0.2500 0.2500 0.2500  4 Tl 2.69, 4 Cu 2.69
4 Tl 0.0000 0.0000 0.0000  4 Li 2.69, 4 Fe 2.69